Here is crystalline CrSeIO2 at its relaxed geometry from the Alexandria database. Energies are from PBE with a Hubbard U.

Energy relative to the lowest polymorph listed for this composition, meV per atom: 306
Total moment, μB per atom: 0.941
Energy, eV for the cell shown: -22.60

Cell lengths 3.921, 3.921, 7.378 Å; angles 90.00, 90.00, 90.00 degrees
Site moments in Bohr magnetons follow the coordinates.
Element x y z (fractional)
I (0.000, 0.000, 0.500)  -0.06
O (0.000, 0.500, 0.000)  0.01
Cr (0.500, 0.500, 0.500)  4.36
Se (0.000, 0.000, 0.000)  0.00
O (0.500, 0.000, 0.000)  0.01